Entry from Alexandria: a geometry-optimized NpNbVO6 structure (GGA+U).

```
data_NpNbVO6
_chemical_formula_sum 'Np2 Nb2 V2 O12'
_cell_length_a 5.2245
_cell_length_b 5.2245
_cell_length_c 9.7587
_cell_angle_alpha 90.00
_cell_angle_beta 90.00
_cell_angle_gamma 120.00
_symmetry_space_group_name_H-M 'P -3 1 c'
_symmetry_Int_Tables_number 163
_symmetry_space_group_name_Hall '-P 3 2c'
loop_
_atom_site_label
_atom_site_type_symbol
_atom_site_fract_x
_atom_site_fract_y
_atom_site_fract_z
_atom_site_occupancy
Np1 Np 0.0000 0.0000 0.0000 1
Nb1 Nb 0.3333 0.6667 0.2500 1
V1 V 0.3333 0.6667 0.7500 1
O1 O 0.0030 0.3483 0.1361 1
```

Summary:
total DFT energy (no corrections): -9.248 eV/atom
spin magnetization: 10.00 μB per cell